# 1
Entry from Alexandria via LeMat-Bulk: Y4ScS4 after structural relaxation (PBE).

## Properties
Total energy   -7.150 eV per atom
Symmetry   I4/m

a = 6.6300 Å, b = 6.6300 Å, c = 6.6300 Å
α = 99.93°, β = 99.93°, γ = 130.94°
With the nearest neighbours (Å) after each atom.
Element x y z (fractional)
Y 0.0983 0.7020 0.8003  5 S 2.70-2.76
Y 0.2980 0.0983 0.3963  5 S 2.70-2.76
Y 0.7020 0.9017 0.6037  5 S 2.70-2.76
Y 0.9017 0.2980 0.1997  5 S 2.70-2.76
Sc 0.5000 0.5000 0.0000  4 S 2.63
S 0.2074 0.4046 0.6120  1 Sc 2.63, 5 Y 2.70-2.76
S 0.4046 0.7926 0.1972  1 Sc 2.63, 5 Y 2.70-2.76
S 0.5954 0.2074 0.8028  1 Sc 2.63, 5 Y 2.70-2.76
S 0.7926 0.5954 0.3880  1 Sc 2.63, 5 Y 2.70-2.76

=====

# 2
Entry from Alexandria via LeMat-Bulk: Y4ScS5 after structural relaxation (PBE).

## Properties
Total energy   -7.234 eV per atom
Symmetry   I4/mmm

a = 13.9893 Å, b = 13.9893 Å, c = 13.9893 Å
α = 164.06°, β = 164.06°, γ = 22.62°
With the nearest neighbours (Å) after each atom.
Element x y z (fractional)
Y 0.0997 0.0997 0.0000  6 S 2.74-2.78
Y 0.3029 0.3029 0.0000  6 S 2.75-2.80
Y 0.6971 0.6971 0.0000  6 S 2.75-2.80
Y 0.9003 0.9003 0.0000  6 S 2.74-2.78
Sc 0.5000 0.5000 0.0000  6 S 2.63-2.74
S 0.0000 0.0000 0.0000  2 Y 2.74, 4 Sc 2.74
S 0.2010 0.2010 0.0000  6 Y 2.75-2.80
S 0.4041 0.4041 0.0000  1 Sc 2.63, 5 Y 2.75-2.78
S 0.5959 0.5959 0.0000  1 Sc 2.63, 5 Y 2.75-2.78
S 0.7990 0.7990 0.0000  6 Y 2.75-2.80

=====

# 3
Entry from Alexandria via LeMat-Bulk: YSc4S6 after structural relaxation (PBE).

## Properties
Total energy   -7.094 eV per atom
Symmetry   Cmcm

a = 6.3463 Å, b = 6.3463 Å, c = 19.0149 Å
α = 90.00°, β = 90.00°, γ = 146.25°
With the nearest neighbours (Å) after each atom.
Element x y z (fractional)
Y 0.1519 0.8481 0.7500  6 S 2.72-2.79
Y 0.8481 0.1519 0.2500  6 S 2.72-2.79
Sc 0.0936 0.9064 0.1247  6 S 2.59-2.63
Sc 0.0936 0.9064 0.3753  6 S 2.59-2.63
Sc 0.3602 0.6398 0.0391  6 S 2.59-2.64
Sc 0.3602 0.6398 0.4609  6 S 2.59-2.64
Sc 0.6398 0.3602 0.5391  6 S 2.59-2.64
Sc 0.6398 0.3602 0.9609  6 S 2.59-2.64
Sc 0.9064 0.0936 0.6247  6 S 2.59-2.63
Sc 0.9064 0.0936 0.8753  6 S 2.59-2.63
S 0.0000 0.0000 0.0000  6 Sc 2.61-2.63
S 0.0000 0.0000 0.5000  6 Sc 2.61-2.63
S 0.1830 0.8170 0.2500  2 Sc 2.62, 2 Y 2.72
S 0.2691 0.7309 0.5868  5 Sc 2.59-2.64
S 0.2691 0.7309 0.9132  5 Sc 2.59-2.64
S 0.4537 0.5463 0.1625  3 Sc 2.61, 2 Y 2.79
S 0.4537 0.5463 0.3375  3 Sc 2.61, 2 Y 2.79
S 0.5463 0.4537 0.6625  3 Sc 2.61, 2 Y 2.79
S 0.5463 0.4537 0.8375  3 Sc 2.61, 2 Y 2.79
S 0.7309 0.2691 0.0868  5 Sc 2.59-2.64
S 0.7309 0.2691 0.4132  5 Sc 2.59-2.64
S 0.8170 0.1830 0.7500  2 Sc 2.62, 2 Y 2.72

=====

# 4
Entry from Alexandria via LeMat-Bulk: YScS3 after structural relaxation (PBE).

## Properties
Total energy   -5.859 eV per atom
Symmetry   Pm-3m

a = 5.1135 Å, b = 5.1135 Å, c = 5.1135 Å
α = 90.00°, β = 90.00°, γ = 90.00°
With the nearest neighbours (Å) after each atom.
Element x y z (fractional)
Y 0.0000 0.0000 0.0000  6 S 2.56
Sc 0.5000 0.5000 0.5000  12 S 3.62
S 0.0000 0.0000 0.5000  2 Y 2.56
S 0.0000 0.5000 0.0000  2 Y 2.56
S 0.5000 0.0000 0.0000  2 Y 2.56